VASP calculation (PBE) on a relaxed structure of Hf6SeS.

Results
The value obtained for the formation energy (no corrections) is -0.431 eV per atom.

The structure in CIF format:
```
data_Hf6SeS
_space_group_name_H-M_alt 'R -3'
_space_group_IT_number 148
_space_group_name_Hall '-R 3'
_cell_length_a 5.9934
_cell_length_b 5.9934
_cell_length_c 16.7427
_cell_angle_alpha 90.00
_cell_angle_beta 90.00
_cell_angle_gamma 120.00
loop_
_atom_site_label
_atom_site_type_symbol
_atom_site_fract_x
_atom_site_fract_y
_atom_site_fract_z
Hf1 Hf 0.0079 0.3073 0.2467
Se1 Se 0.0000 0.0000 0.0000
S1 S 0.0000 0.0000 0.5000
```